No. 1
# NpU2WC4 PBE relaxed
# DFT formation energy: -0.1181 eV/atom
data_NpU2WC4
_chemical_formula_sum 'Np1 U2 W1 C4'
_cell_length_a 5.8766
_cell_length_b 3.2910
_cell_length_c 5.8835
_cell_angle_alpha 90.00
_cell_angle_beta 108.17
_cell_angle_gamma 90.00
_space_group_name_H-M_alt 'P 1 2/m 1'
_space_group_IT_number 10
loop_
_space_group_symop_operation_xyz
'x,y,z'
'-x,-y,-z'
'-x,y,-z'
'x,-y,z'
loop_
_atom_site_label
_atom_site_type_symbol
_atom_site_fract_x
_atom_site_fract_y
_atom_site_fract_z
Np1 Np 0.0000 0.0000 0.0000
U1 U 0.5000 0.0000 0.5000
U2 U 0.5000 0.5000 0.0000
W1 W 0.0000 0.5000 0.5000
C1 C 0.2244 0.0000 0.7244
C2 C 0.2311 0.5000 0.2709

***

No. 2
# ZrNpU2C4 PBE relaxed
# DFT formation energy: -0.2352 eV/atom
data_ZrNpU2C4
_chemical_formula_sum 'Zr1 Np1 U2 C4'
_cell_length_a 5.9792
_cell_length_b 3.4435
_cell_length_c 6.0526
_cell_angle_alpha 90.00
_cell_angle_beta 109.49
_cell_angle_gamma 90.00
_space_group_name_H-M_alt 'P 1 2/m 1'
_space_group_IT_number 10
loop_
_space_group_symop_operation_xyz
'x,y,z'
'-x,-y,-z'
'-x,y,-z'
'x,-y,z'
loop_
_atom_site_label
_atom_site_type_symbol
_atom_site_fract_x
_atom_site_fract_y
_atom_site_fract_z
Zr1 Zr 0.0000 0.0000 0.0000
Np1 Np 0.0000 0.5000 0.5000
U1 U 0.5000 0.0000 0.5000
U2 U 0.5000 0.5000 0.0000
C1 C 0.2508 0.5000 0.2470
C2 C 0.2544 0.0000 0.7629

***

No. 3
# Zr2NpUC4 PBE relaxed
# DFT formation energy: -0.4109 eV/atom
data_Zr2NpUC4
_chemical_formula_sum 'Zr2 Np1 U1 C4'
_cell_length_a 5.8689
_cell_length_b 3.3896
_cell_length_c 6.0250
_cell_angle_alpha 90.00
_cell_angle_beta 108.94
_cell_angle_gamma 90.00
_space_group_name_H-M_alt 'P 1 2/m 1'
_space_group_IT_number 10
loop_
_space_group_symop_operation_xyz
'x,y,z'
'-x,-y,-z'
'-x,y,-z'
'x,-y,z'
loop_
_atom_site_label
_atom_site_type_symbol
_atom_site_fract_x
_atom_site_fract_y
_atom_site_fract_z
Zr1 Zr 0.0000 0.0000 0.0000
Zr2 Zr 0.5000 0.5000 0.0000
Np1 Np 0.0000 0.5000 0.5000
U1 U 0.5000 0.0000 0.5000
C1 C 0.2507 0.5000 0.2466
C2 C 0.2533 0.0000 0.7537

***

No. 4
# NpV2C PBE relaxed
# DFT formation energy: 0.2573 eV/atom
# Offset from the most stable computed form: 1.45 eV/f.u.
data_NpV2C
_chemical_formula_sum 'Np1 V2 C1'
_cell_length_a 2.6494
_cell_length_b 2.6494
_cell_length_c 7.0990
_cell_angle_alpha 90.00
_cell_angle_beta 90.00
_cell_angle_gamma 90.00
_space_group_name_H-M_alt 'P 4/m m m'
_space_group_IT_number 123
_space_group_name_Hall '-P 4 2'
loop_
_atom_site_label
_atom_site_type_symbol
_atom_site_fract_x
_atom_site_fract_y
_atom_site_fract_z
Np1 Np 0.0000 0.0000 0.0000
V1 V 0.5000 0.5000 0.3364
C1 C 0.0000 0.0000 0.5000

***

No. 5
# NpV2C PBE relaxed
# DFT formation energy: -0.1053 eV/atom
# Offset from the most stable computed form: 0.00 eV/f.u.
data_NpV2C
_chemical_formula_sum 'Np3 V6 C3'
_cell_length_a 2.8610
_cell_length_b 2.8610
_cell_length_c 22.6892
_cell_angle_alpha 90.00
_cell_angle_beta 90.00
_cell_angle_gamma 120.00
_space_group_name_H-M_alt 'R -3 m'
_space_group_IT_number 166
_space_group_name_Hall '-R 3 2"'
loop_
_atom_site_label
_atom_site_type_symbol
_atom_site_fract_x
_atom_site_fract_y
_atom_site_fract_z
Np1 Np 0.0000 0.0000 0.0000
V1 V 0.0000 0.0000 0.2173
C1 C 0.0000 0.0000 0.5000

***

No. 6
# NpW2C2 PBE relaxed
# DFT formation energy: 0.2363 eV/atom
data_NpW2C2
_chemical_formula_sum 'Np8 W16 C16'
_cell_length_a 7.1874
_cell_length_b 8.8571
_cell_length_c 9.0728
_cell_angle_alpha 90.00
_cell_angle_beta 90.00
_cell_angle_gamma 90.00
_space_group_name_H-M_alt 'F d d d'
_space_group_IT_number 70
loop_
_space_group_symop_operation_xyz
'x,y,z'
'-x,-y,-z'
'-x+1/4,-y+1/4,z'
'x+1/4,y+1/4,-z'
'x,-y+1/4,-z+1/4'
'-x,y+1/4,z+1/4'
'-x+1/4,y,-z+1/4'
'x+1/4,-y,z+1/4'
'x,y+1/2,z+1/2'
'-x,-y+1/2,-z+1/2'
'-x+1/4,-y+3/4,z+1/2'
'x+1/4,y+3/4,-z+1/2'
'x,-y+3/4,-z+3/4'
'-x,y+3/4,z+3/4'
'-x+1/4,y+1/2,-z+3/4'
'x+1/4,-y+1/2,z+3/4'
'x+1/2,y,z+1/2'
'-x+1/2,-y,-z+1/2'
'-x+3/4,-y+1/4,z+1/2'
'x+3/4,y+1/4,-z+1/2'
'x+1/2,-y+1/4,-z+3/4'
'-x+1/2,y+1/4,z+3/4'
'-x+3/4,y,-z+3/4'
'x+3/4,-y,z+3/4'
'x+1/2,y+1/2,z'
'-x+1/2,-y+1/2,-z'
'-x+3/4,-y+3/4,z'
'x+3/4,y+3/4,-z'
'x+1/2,-y+3/4,-z+1/4'
'-x+1/2,y+3/4,z+1/4'
'-x+3/4,y+1/2,-z+1/4'
'x+3/4,-y+1/2,z+1/4'
loop_
_atom_site_label
_atom_site_type_symbol
_atom_site_fract_x
_atom_site_fract_y
_atom_site_fract_z
Np1 Np 0.1250 0.1250 0.1250
W1 W 0.1250 0.1250 0.4790
C1 C 0.1250 0.3288 0.6250

***

No. 7
# NpWC PBE relaxed
# DFT formation energy: 0.4775 eV/atom
# Offset from the most stable computed form: 0.94 eV/f.u.
data_NpWC
_chemical_formula_sum 'Np2 W2 C2'
_cell_length_a 2.9345
_cell_length_b 2.9345
_cell_length_c 10.8894
_cell_angle_alpha 90.00
_cell_angle_beta 90.00
_cell_angle_gamma 90.00
_space_group_name_H-M_alt 'I 4 m m'
_space_group_IT_number 107
_space_group_name_Hall 'I 4 -2'
loop_
_atom_site_label
_atom_site_type_symbol
_atom_site_fract_x
_atom_site_fract_y
_atom_site_fract_z
Np1 Np 0.0000 0.0000 0.0000
W1 W 0.0000 0.0000 0.7163
C1 C 0.0000 0.0000 0.2669

***

No. 8
# Np2WC PBE relaxed
# DFT formation energy: 1.0983 eV/atom
data_Np2WC
_chemical_formula_sum 'Np6 W3 C3'
_cell_length_a 4.9257
_cell_length_b 4.9257
_cell_length_c 9.8378
_cell_angle_alpha 90.00
_cell_angle_beta 90.00
_cell_angle_gamma 120.00
_space_group_name_H-M_alt 'R -3 m'
_space_group_IT_number 166
_space_group_name_Hall '-R 3 2"'
loop_
_atom_site_label
_atom_site_type_symbol
_atom_site_fract_x
_atom_site_fract_y
_atom_site_fract_z
Np1 Np 0.0000 0.0000 0.2269
W1 W 0.0000 0.0000 0.5000
C1 C 0.0000 0.0000 0.0000